No. 1
{
  "formula": "Y2NiHg",
  "functional": "PBE-GGA",
  "state": "relaxed",
  "lattice_angstrom": [[3.406, -1.960, 0.000], [3.406, 1.960, 0.000], [-2.255, 0.000, 7.643]],
  "species": ["Y", "Y", "Ni", "Hg"],
  "fractional_positions": [[0.234, 0.234, 0.201], [0.766, 0.766, 0.799], [0.500, 0.500, 0.000], [0.000, 0.000, 0.500]],
  "final_energy_ev_per_cell": -20.34
}



No. 2
{
  "formula": "Y2NiHg",
  "functional": "PBE-GGA",
  "state": "relaxed",
  "lattice_angstrom": [[3.475, 0.000, 0.000], [0.000, 3.505, 0.000], [0.000, 0.000, 7.455]],
  "species": ["Y", "Y", "Ni", "Hg"],
  "fractional_positions": [[0.000, 0.000, 0.220], [0.000, 0.000, 0.780], [0.500, 0.500, 0.000], [0.500, 0.500, 0.500]],
  "final_energy_ev_per_cell": -20.78
}



No. 3
{
  "formula": "YNi3Hg",
  "functional": "PBE-GGA",
  "state": "relaxed",
  "lattice_angstrom": [[4.717, 0.000, 0.000], [0.000, 4.717, 0.000], [0.000, 0.000, 4.717]],
  "species": ["Y", "Ni", "Ni", "Ni", "Hg"],
  "fractional_positions": [[0.000, 0.000, 0.000], [0.000, 0.500, 0.500], [0.500, 0.000, 0.500], [0.500, 0.500, 0.000], [0.500, 0.500, 0.500]],
  "polymorph_energy_mev_per_atom": 0.0
}



No. 4
{
  "formula": "Y11Ni4Hg9",
  "functional": "PBE-GGA",
  "state": "relaxed",
  "lattice_angstrom": [[7.215, -10.834, 0.000], [7.215, 10.834, 0.000], [0.000, 0.000, 3.593]],
  "species": ["Y", "Y", "Y", "Y", "Y", "Y", "Y", "Y", "Y", "Y", "Y", "Ni", "Ni", "Ni", "Ni", "Hg", "Hg", "Hg", "Hg", "Hg", "Hg", "Hg", "Hg", "Hg"],
  "fractional_positions": [[0.000, 0.000, 0.000], [0.081, 0.416, 0.000], [0.166, 0.834, 0.000], [0.307, 0.307, 0.000], [0.373, 0.627, 0.000], [0.416, 0.081, 0.000], [0.584, 0.919, 0.000], [0.627, 0.373, 0.000], [0.693, 0.693, 0.000], [0.834, 0.166, 0.000], [0.919, 0.584, 0.000], [0.251, 0.450, 0.500], [0.450, 0.251, 0.500], [0.550, 0.749, 0.500], [0.749, 0.550, 0.500], [0.073, 0.218, 0.500], [0.156, 0.630, 0.500], [0.218, 0.073, 0.500], [0.370, 0.844, 0.500], [0.500, 0.500, 0.500], [0.630, 0.156, 0.500], [0.782, 0.927, 0.500], [0.844, 0.370, 0.500], [0.927, 0.782, 0.500]],
  "final_energy_ev_per_cell": -108.88
}



No. 5
{
  "formula": "YNiHg3",
  "functional": "PBE-GGA",
  "state": "relaxed",
  "lattice_angstrom": [[4.933, 0.000, 0.000], [0.000, 4.933, 0.000], [0.000, 0.000, 4.933]],
  "species": ["Y", "Ni", "Hg", "Hg", "Hg"],
  "fractional_positions": [[0.000, 0.000, 0.000], [0.500, 0.500, 0.500], [0.000, 0.500, 0.500], [0.500, 0.000, 0.500], [0.500, 0.500, 0.000]],
  "polymorph_energy_mev_per_atom": 0.0
}



No. 6
{
  "formula": "Y4NiHg",
  "functional": "PBE-GGA",
  "state": "relaxed",
  "lattice_angstrom": [[0.000, 4.352, 4.352], [4.352, 0.000, 4.352], [4.352, 4.352, 0.000]],
  "species": ["Y", "Y", "Y", "Y", "Ni", "Hg"],
  "fractional_positions": [[0.125, 0.125, 0.125], [0.125, 0.125, 0.624], [0.125, 0.624, 0.125], [0.624, 0.125, 0.125], [0.500, 0.500, 0.500], [0.750, 0.750, 0.750]],
  "polymorph_energy_mev_per_atom": 881.5
}